[1]
# Dy2Si2Se7 | Alexandria via LeMat-Bulk | GGA-PBE | relaxed
data_Dy2Si2Se7
_cell_length_a 9.304
_cell_length_b 11.282
_cell_length_c 6.173
_cell_angle_alpha 90.00
_cell_angle_beta 101.94
_cell_angle_gamma 90.00
_symmetry_space_group_name_H-M 'C 1 2/m 1'
_symmetry_Int_Tables_number 12
_symmetry_space_group_name_Hall '-C 2y'
loop_
_atom_site_label
_atom_site_type_symbol
_atom_site_fract_x
_atom_site_fract_y
_atom_site_fract_z
_atom_site_occupancy
Dy1 Dy 0.000 0.200 0.000 1
Si1 Si 0.228 0.500 0.411 1
Se1 Se 0.000 0.500 0.500 1
Se2 Se 0.097 0.000 0.268 1
Se3 Se 0.248 0.172 0.776 1
# **Size of the total moment**: 0.00 μB/cell
# **ΔE_f (raw)**: -892 meV per atom
# **VASP energy**: -4.932 eV per atom

[2]
# Dy7SiSe5 | Alexandria via LeMat-Bulk | GGA-PBE | relaxed
data_Dy7SiSe5
_cell_length_a 4.037
_cell_length_b 13.254
_cell_length_c 24.008
_cell_angle_alpha 90.00
_cell_angle_beta 90.00
_cell_angle_gamma 90.00
_symmetry_space_group_name_H-M 'C m c 21'
_symmetry_Int_Tables_number 36
_symmetry_space_group_name_Hall 'C 2c -2'
loop_
_atom_site_label
_atom_site_type_symbol
_atom_site_fract_x
_atom_site_fract_y
_atom_site_fract_z
_atom_site_occupancy
Dy1 Dy 0.000 0.037 0.000 1
Dy2 Dy 0.000 0.138 0.712 1
Dy3 Dy 0.000 0.139 0.288 1
Dy4 Dy 0.000 0.304 0.068 1
Dy5 Dy 0.000 0.304 0.932 1
Dy6 Dy 0.000 0.405 0.629 1
Dy7 Dy 0.000 0.406 0.371 1
Si1 Si 0.000 0.309 0.500 1
Se1 Se 0.000 0.053 0.394 1
Se2 Se 0.000 0.053 0.606 1
Se3 Se 0.000 0.222 0.178 1
Se4 Se 0.000 0.222 0.822 1
Se5 Se 0.000 0.500 0.250 1
# **Size of the total moment**: 0.00 μB/cell
# **ΔE_f (raw)**: -1479 meV per atom
# **VASP energy**: -5.715 eV per atom

[3]
# DySiSe | Alexandria via LeMat-Bulk | GGA-PBE | relaxed
data_DySiSe
_cell_length_a 3.790
_cell_length_b 3.790
_cell_length_c 18.286
_cell_angle_alpha 90.00
_cell_angle_beta 90.00
_cell_angle_gamma 90.00
_symmetry_space_group_name_H-M 'I 4/m m m'
_symmetry_Int_Tables_number 139
_symmetry_space_group_name_Hall '-I 4 2'
loop_
_atom_site_label
_atom_site_type_symbol
_atom_site_fract_x
_atom_site_fract_y
_atom_site_fract_z
_atom_site_occupancy
Dy1 Dy 0.000 0.000 0.139 1
Si1 Si 0.000 0.500 0.000 1
Se1 Se 0.000 0.000 0.311 1
# **Size of the total moment**: 0.00 μB/cell
# **ΔE_f (raw)**: -1091 meV per atom
# **VASP energy**: -5.595 eV per atom

[4]
# Dy5SiSe4 | Alexandria via LeMat-Bulk | GGA-PBE | relaxed
data_Dy5SiSe4
_cell_length_a 9.176
_cell_length_b 9.176
_cell_length_c 5.761
_cell_angle_alpha 90.00
_cell_angle_beta 90.00
_cell_angle_gamma 90.00
_symmetry_space_group_name_H-M 'I 4/m'
_symmetry_Int_Tables_number 87
_symmetry_space_group_name_Hall '-I 4'
loop_
_atom_site_label
_atom_site_type_symbol
_atom_site_fract_x
_atom_site_fract_y
_atom_site_fract_z
_atom_site_occupancy
Dy1 Dy 0.000 0.000 0.000 1
Dy2 Dy 0.096 0.712 0.500 1
Si1 Si 0.000 0.000 0.500 1
Se1 Se 0.097 0.697 0.000 1
# **Size of the total moment**: 0.00 μB/cell
# **ΔE_f (raw)**: -1631 meV per atom
# **VASP energy**: -5.868 eV per atom

[5]
# Dy6SiSe12 | Alexandria via LeMat-Bulk | GGA-PBE | relaxed
data_Dy6SiSe12
_cell_length_a 12.2325
_cell_length_b 12.2325
_cell_length_c 11.5935
_cell_angle_alpha 90.00
_cell_angle_beta 90.00
_cell_angle_gamma 120.00
_symmetry_space_group_name_H-M 'R -3'
_symmetry_Int_Tables_number 148
_symmetry_space_group_name_Hall '-R 3'
loop_
_atom_site_label
_atom_site_type_symbol
_atom_site_fract_x
_atom_site_fract_y
_atom_site_fract_z
_atom_site_occupancy
Dy1 Dy 0.0530 0.6092 0.3129 1
Si1 Si 0.0000 0.0000 0.0000 1
Se1 Se 0.0390 0.8227 0.3985 1
Se2 Se 0.0596 0.8642 0.8856 1
# **Size of the total moment**: 0.00 μB/cell
# **ΔE_f (raw)**: -1430 meV per atom
# **VASP energy**: -5.370 eV per atom

[6]
# DySi2Se6 | Alexandria via LeMat-Bulk | GGA-PBE | relaxed
data_DySi2Se6
_cell_length_a 12.593
_cell_length_b 12.106
_cell_length_c 6.505
_cell_angle_alpha 90.00
_cell_angle_beta 98.39
_cell_angle_gamma 90.00
_symmetry_space_group_name_H-M 'C 1 2/c 1'
_symmetry_Int_Tables_number 15
_symmetry_space_group_name_Hall '-C 2yc'
loop_
_atom_site_label
_atom_site_type_symbol
_atom_site_fract_x
_atom_site_fract_y
_atom_site_fract_z
_atom_site_occupancy
Dy1 Dy 0.000 0.115 0.250 1
Si1 Si 0.202 0.426 0.311 1
Se1 Se 0.115 0.087 0.662 1
Se2 Se 0.136 0.417 0.627 1
Se3 Se 0.137 0.278 0.116 1
# **Size of the total moment**: 0.00 μB/cell
# **ΔE_f (raw)**: -659 meV per atom
# **VASP energy**: -4.698 eV per atom

- ΔE_f (raw) of number 2 (Dy7SiSe5)?
  -1479 meV per atom